# Hg2Sb

An optimized crystal structure of Hg2Sb (GGA-PBEsol, the Alexandria database).

Mass density, g/cm3: 11.918
Distance to the lowest polymorph of the same formula, kJ/mol of formula units: 61
D(E_F), states/eV/f.u.: 1.46
Final energy, eV per atom: -1.630
Size of the total moment, μB per formula unit: 0.00
Energy relative to the elements, uncorrected, eV/atom: 0.267

a = 8.3534 Å, b = 8.3534 Å, c = 8.3534 Å
α = 90.00°, β = 90.00°, γ = 90.00°
Last column: nearest neighbours and their distance in Å.
Space group Fd-3m (No. 227, origin choice 2)
Symmetry-distinct sites (fractional):
Hg  0.0000  0.0000  0.0000 (multiplicity 16)  6 Hg 2.95
Sb  0.1250  0.1250  0.6250 (multiplicity 8)  12 Hg 3.46, 4 Sb 3.62